1.
Dy2Tm5Mg5 | GGA-PBE | optimized geometry

Computed properties:
DFT formation energy = 0.02 eV per atom

a b c (Å): 6.555 6.555 11.223
angles (deg): 108.25 108.25 47.06
Element x y z (fractional)
Dy 0.090 0.090 0.241
Dy 0.910 0.910 0.759
Tm 0.343 0.343 0.515
Tm 0.397 0.397 0.245
Tm 0.500 0.500 0.000
Tm 0.603 0.603 0.755
Tm 0.657 0.657 0.485
Mg 0.000 0.000 0.500
Mg 0.174 0.174 0.976
Mg 0.242 0.242 0.736
Mg 0.758 0.758 0.264
Mg 0.826 0.826 0.024



2.
TbPm2Nd2Ho2 | GGA-PBE | optimized geometry

Computed properties:
DFT formation energy = 0.13 eV per atom

a b c (Å): 8.836 8.836 8.836
angles (deg): 37.97 37.97 37.97
Element x y z (fractional)
Tb 0.000 0.000 0.000
Pm 0.282 0.282 0.282
Pm 0.718 0.718 0.718
Nd 0.139 0.139 0.139
Nd 0.861 0.861 0.861
Ho 0.427 0.427 0.427
Ho 0.573 0.573 0.573



3.
Pm2YAu | GGA-PBE | optimized geometry

Computed properties:
DFT formation energy = -0.41 eV per atom
offset from the most stable computed form = 0 meV/atom

a b c (Å): 7.126 10.073 6.726
angles (deg): 90.00 90.00 90.00
Element x y z (fractional)
Pm 0.196 0.055 0.187
Pm 0.196 0.445 0.187
Pm 0.304 0.555 0.687
Pm 0.304 0.945 0.687
Pm 0.696 0.055 0.313
Pm 0.696 0.445 0.313
Pm 0.804 0.555 0.813
Pm 0.804 0.945 0.813
Y 0.017 0.250 0.627
Y 0.483 0.750 0.127
Y 0.517 0.250 0.873
Y 0.983 0.750 0.373
Au 0.096 0.750 0.954
Au 0.404 0.250 0.454
Au 0.596 0.750 0.546
Au 0.904 0.250 0.046



4.
AlTe2Br | GGA-PBE | optimized geometry

Computed properties:
ΔE_f (raw) = -0.263 eV/atom
offset from the most stable computed form = 114 meV/atom

a b c (Å): 4.197 4.197 25.535
angles (deg): 90.00 90.00 120.00
Element x y z (fractional)
Al 0.000 0.000 0.000
Al 0.333 0.667 0.667
Al 0.667 0.333 0.333
Te 0.000 0.000 0.390
Te 0.000 0.000 0.610
Te 0.333 0.667 0.057
Te 0.333 0.667 0.276
Te 0.667 0.333 0.724
Te 0.667 0.333 0.943
Br 0.000 0.000 0.500
Br 0.333 0.667 0.167
Br 0.667 0.333 0.833



5.
TlRuW2 | GGA-PBE | optimized geometry

Computed properties:
DFT formation energy = 0.59 eV per atom
offset from the most stable computed form = 105 meV/atom

a b c (Å): 2.889 4.035 6.006
angles (deg): 90.00 91.22 90.00
Element x y z (fractional)
Tl 0.000 0.000 0.000
Ru 0.481 0.500 0.713
W 0.550 0.500 0.290
W 0.954 0.000 0.513



6.
KRbMoBr6 | GGA-PBE | optimized geometry

Computed properties:
ΔE_f (raw) = -1.045 eV/atom

a b c (Å): 8.127 8.127 12.167
angles (deg): 90.00 90.00 120.00
Element x y z (fractional)
K 0.000 0.000 0.000
K 0.000 0.000 0.500
Rb 0.333 0.667 0.250
Rb 0.667 0.333 0.750
Mo 0.333 0.667 0.750
Mo 0.667 0.333 0.250
Br 0.080 0.407 0.627
Br 0.080 0.673 0.873
Br 0.327 0.407 0.873
Br 0.327 0.920 0.627
Br 0.407 0.080 0.127
Br 0.407 0.327 0.373
Br 0.593 0.673 0.627
Br 0.593 0.920 0.873
Br 0.673 0.080 0.373
Br 0.673 0.593 0.127
Br 0.920 0.327 0.127
Br 0.920 0.593 0.373



7.
La2TmThAs4 | GGA-PBE | optimized geometry

Computed properties:
DFT formation energy = -1.52 eV per atom

a b c (Å): 7.361 4.269 7.419
angles (deg): 90.00 109.41 90.00
Element x y z (fractional)
La 0.000 0.000 0.000
La 0.500 0.500 0.000
Tm 0.000 0.500 0.500
Th 0.500 0.000 0.500
As 0.241 0.000 0.736
As 0.249 0.500 0.261
As 0.751 0.500 0.739
As 0.759 0.000 0.264



8.
LaGaTc3 | GGA-PBE | optimized geometry

Computed properties:
DFT formation energy = 0.87 eV per atom
offset from the most stable computed form = 0 meV/atom

a b c (Å): 4.700 4.700 4.700
angles (deg): 90.00 90.00 90.00
Element x y z (fractional)
La 0.000 0.000 0.000
Ga 0.500 0.500 0.500
Tc 0.000 0.500 0.500
Tc 0.500 0.000 0.500
Tc 0.500 0.500 0.000



9.
ErGe3Pt2 | GGA-PBE | optimized geometry

Computed properties:
DFT formation energy = -0.71 eV per atom

a b c (Å): 8.215 8.215 7.544
angles (deg): 114.99 114.99 29.06
Element x y z (fractional)
Er 0.124 0.124 0.150
Er 0.876 0.876 0.850
Ge 0.045 0.045 0.678
Ge 0.317 0.317 0.106
Ge 0.339 0.339 0.540
Ge 0.661 0.661 0.460
Ge 0.683 0.683 0.894
Ge 0.955 0.955 0.322
Pt 0.213 0.213 0.695
Pt 0.491 0.491 0.175
Pt 0.509 0.509 0.825
Pt 0.787 0.787 0.305



10.
CrCd2Ir | GGA-PBE | optimized geometry

Computed properties:
DFT formation energy = 0.08 eV per atom
offset from the most stable computed form = 0 meV/atom

a b c (Å): 2.904 2.904 8.116
angles (deg): 90.00 90.14 90.00
Element x y z (fractional)
Cr 0.000 0.000 0.000
Cd 0.001 0.000 0.439
Cd 0.499 0.500 0.747
Ir 0.501 0.500 0.175



11.
PrSc3In4 | GGA-PBE | optimized geometry

Computed properties:
DFT formation energy = -0.42 eV per atom

a b c (Å): 10.397 6.926 5.411
angles (deg): 90.00 90.00 90.00
Element x y z (fractional)
Pr 0.000 0.000 0.000
Pr 0.500 0.000 0.000
Sc 0.000 0.500 0.000
Sc 0.250 0.000 0.412
Sc 0.250 0.500 0.379
Sc 0.500 0.500 0.000
Sc 0.750 0.000 0.588
Sc 0.750 0.500 0.621
In 0.000 0.269 0.500
In 0.000 0.731 0.500
In 0.250 0.269 0.884
In 0.250 0.731 0.884
In 0.500 0.269 0.500
In 0.500 0.731 0.500
In 0.750 0.269 0.116
In 0.750 0.731 0.116



12.
Ac2CdTe | GGA-PBE | optimized geometry

Computed properties:
ΔE_f (raw) = -0.378 eV/atom
offset from the most stable computed form = 387 meV/atom

a b c (Å): 4.292 4.292 33.682
angles (deg): 90.00 90.00 120.00
Element x y z (fractional)
Ac 0.000 0.000 0.103
Ac 0.000 0.000 0.897
Ac 0.333 0.667 0.564
Ac 0.333 0.667 0.769
Ac 0.667 0.333 0.231
Ac 0.667 0.333 0.436
Cd 0.000 0.000 0.000
Cd 0.333 0.667 0.667
Cd 0.667 0.333 0.333
Te 0.000 0.000 0.500
Te 0.333 0.667 0.167
Te 0.667 0.333 0.833



13.
Sr6CuP2I3 | GGA-PBE | optimized geometry

Computed properties:
ΔE_f (raw) = -1.101 eV/atom

a b c (Å): 7.870 7.870 8.435
angles (deg): 98.98 98.98 120.34
Element x y z (fractional)
Sr 0.093 0.436 0.803
Sr 0.224 0.224 0.199
Sr 0.436 0.093 0.803
Sr 0.564 0.907 0.197
Sr 0.776 0.776 0.801
Sr 0.907 0.564 0.197
Cu 0.500 0.500 0.000
P 0.165 0.835 0.000
P 0.835 0.165 0.000
I 0.000 0.000 0.500
I 0.332 0.668 0.500
I 0.668 0.332 0.500



14.
K2In12Ni3Ag | GGA-PBE | optimized geometry

Computed properties:
DFT formation energy = 0.04 eV per atom

a b c (Å): 8.801 8.801 8.801
angles (deg): 67.20 67.20 67.20
Element x y z (fractional)
K 0.098 0.098 0.098
K 0.902 0.902 0.902
In 0.128 0.625 0.625
In 0.226 0.226 0.571
In 0.226 0.571 0.226
In 0.375 0.375 0.872
In 0.375 0.872 0.375
In 0.429 0.774 0.774
In 0.571 0.226 0.226
In 0.625 0.128 0.625
In 0.625 0.625 0.128
In 0.774 0.429 0.774
In 0.774 0.774 0.429
In 0.872 0.375 0.375
Ni 0.000 0.500 0.500
Ni 0.500 0.000 0.500
Ni 0.500 0.500 0.000
Ag 0.500 0.500 0.500



15.
Hf2Zr4Sc | GGA-PBE | optimized geometry

Computed properties:
DFT formation energy = 0.24 eV per atom
offset from the most stable computed form = 228 meV/atom

a b c (Å): 6.012 7.834 7.837
angles (deg): 80.56 71.19 71.11
Element x y z (fractional)
Hf 0.000 0.000 0.000
Hf 0.000 0.499 0.499
Hf 0.192 0.985 0.480
Hf 0.749 0.930 0.430
Zr 0.283 0.704 0.204
Zr 0.294 0.206 0.705
Zr 0.429 0.609 0.612
Zr 0.430 0.114 0.107
Zr 0.645 0.825 0.823
Zr 0.646 0.323 0.325
Zr 0.723 0.713 0.212
Zr 0.754 0.197 0.696
Sc 0.148 0.491 0.988
Sc 0.713 0.430 0.929



16.
Pm8Te4AsSe3 | GGA-PBE | optimized geometry

Computed properties:
ΔE_f (raw) = -1.619 eV/atom

a b c (Å): 8.759 8.759 8.759
angles (deg): 58.94 58.94 58.94
Element x y z (fractional)
Pm 0.239 0.239 0.239
Pm 0.244 0.737 0.737
Pm 0.263 0.263 0.756
Pm 0.263 0.756 0.263
Pm 0.737 0.244 0.737
Pm 0.737 0.737 0.244
Pm 0.756 0.263 0.263
Pm 0.761 0.761 0.761
Te 0.000 0.000 0.000
Te 0.000 0.500 0.500
Te 0.500 0.000 0.500
Te 0.500 0.500 0.000
As 0.500 0.500 0.500
Se 0.000 0.000 0.500
Se 0.000 0.500 0.000
Se 0.500 0.000 0.000



17.
ErZr5P6 | GGA-PBE | optimized geometry

Computed properties:
DFT formation energy = -1.38 eV per atom

a b c (Å): 6.534 6.534 6.554
angles (deg): 99.60 99.60 119.90
Element x y z (fractional)
Er 0.000 0.000 0.000
Zr 0.163 0.837 0.500
Zr 0.333 0.667 0.000
Zr 0.500 0.500 0.500
Zr 0.667 0.333 0.000
Zr 0.837 0.163 0.500
P 0.085 0.424 0.255
P 0.255 0.255 0.750
P 0.424 0.085 0.255
P 0.576 0.915 0.745
P 0.745 0.745 0.250
P 0.915 0.576 0.745



18.
LiScH2 | GGA-PBE | optimized geometry

Computed properties:
offset from the most stable computed form = 112 meV/atom

a b c (Å): 4.344 4.344 9.849
angles (deg): 90.00 90.00 90.00
Element x y z (fractional)
Li 0.000 0.000 0.000
Li 0.000 0.500 0.250
Li 0.500 0.000 0.750
Li 0.500 0.500 0.500
Sc 0.000 0.000 0.500
Sc 0.000 0.500 0.750
Sc 0.500 0.000 0.250
Sc 0.500 0.500 0.000
H 0.233 0.250 0.125
H 0.250 0.733 0.375
H 0.250 0.767 0.875
H 0.267 0.250 0.625
H 0.733 0.750 0.625
H 0.750 0.233 0.875
H 0.750 0.267 0.375
H 0.767 0.750 0.125



19.
SrLaZr2 | GGA-PBE | optimized geometry

Computed properties:
DFT formation energy = 0.61 eV per atom
offset from the most stable computed form = 369 meV/atom

a b c (Å): 7.821 7.821 7.821
angles (deg): 90.00 90.00 90.00
Element x y z (fractional)
Sr 0.000 0.000 0.000
Sr 0.000 0.500 0.500
Sr 0.500 0.000 0.500
Sr 0.500 0.500 0.000
La 0.000 0.000 0.500
La 0.000 0.500 0.000
La 0.500 0.000 0.000
La 0.500 0.500 0.500
Zr 0.250 0.250 0.250
Zr 0.250 0.250 0.750
Zr 0.250 0.750 0.250
Zr 0.250 0.750 0.750
Zr 0.750 0.250 0.250
Zr 0.750 0.250 0.750
Zr 0.750 0.750 0.250
Zr 0.750 0.750 0.750



20.
ZrAs2Au | GGA-PBE | optimized geometry

Computed properties:
DFT formation energy = -0.15 eV per atom

a b c (Å): 3.554 3.554 22.640
angles (deg): 90.00 90.00 120.00
Element x y z (fractional)
Zr 0.000 0.000 0.000
Zr 0.333 0.667 0.667
Zr 0.667 0.333 0.333
As 0.000 0.000 0.252
As 0.000 0.000 0.505
As 0.333 0.667 0.172
As 0.333 0.667 0.918
As 0.667 0.333 0.585
As 0.667 0.333 0.839
Au 0.000 0.000 0.756
Au 0.333 0.667 0.423
Au 0.667 0.333 0.089



21.
RbNaAl2 | GGA-PBE | optimized geometry

Computed properties:
DFT formation energy = 0.58 eV per atom
offset from the most stable computed form = 168 meV/atom

a b c (Å): 7.974 7.974 7.974
angles (deg): 90.00 90.00 90.00
Element x y z (fractional)
Rb 0.000 0.000 0.000
Rb 0.000 0.500 0.500
Rb 0.500 0.000 0.500
Rb 0.500 0.500 0.000
Na 0.000 0.000 0.500
Na 0.000 0.500 0.000
Na 0.500 0.000 0.000
Na 0.500 0.500 0.500
Al 0.250 0.250 0.250
Al 0.250 0.250 0.750
Al 0.250 0.750 0.250
Al 0.250 0.750 0.750
Al 0.750 0.250 0.250
Al 0.750 0.250 0.750
Al 0.750 0.750 0.250
Al 0.750 0.750 0.750



22.
LiMg6Cr | GGA-PBE | optimized geometry

Computed properties:
DFT formation energy = 0.13 eV per atom

a b c (Å): 5.019 6.302 10.788
angles (deg): 90.00 90.00 90.00
Element x y z (fractional)
Li 0.000 0.000 0.000
Li 0.000 0.500 0.500
Mg 0.000 0.249 0.751
Mg 0.000 0.251 0.251
Mg 0.000 0.749 0.251
Mg 0.000 0.751 0.751
Mg 0.500 0.000 0.167
Mg 0.500 0.000 0.664
Mg 0.500 0.247 0.422
Mg 0.500 0.253 0.922
Mg 0.500 0.500 0.164
Mg 0.500 0.500 0.667
Mg 0.500 0.747 0.922
Mg 0.500 0.753 0.422
Cr 0.000 0.000 0.501
Cr 0.000 0.500 0.001



23.
BaYIr2 | GGA-PBE | optimized geometry

Computed properties:
DFT formation energy = 0.07 eV per atom
offset from the most stable computed form = 358 meV/atom

a b c (Å): 3.573 3.573 8.577
angles (deg): 90.00 90.00 90.00
Element x y z (fractional)
Ba 0.000 0.000 0.000
Y 0.500 0.500 0.590
Ir 0.000 0.000 0.371
Ir 0.500 0.500 0.286



Values of magnetization, in order: 0.000, 0.000, 0.000, 0.000, 0.000, 0.222, 0.000, 0.633, 0.000, 0.234, 0.000, 0.000, 0.172, 0.000, 0.000, 0.000, 0.000, 0.292, 0.000, 0.000, 0.000, 0.552, 0.000, all in μB/atom.